# ScPSe | the Alexandria database | PBE | relaxed
data_ScPSe
_cell_length_a 6.322
_cell_length_b 6.322
_cell_length_c 6.322
_cell_angle_alpha 90.00
_cell_angle_beta 90.00
_cell_angle_gamma 90.00
_symmetry_space_group_name_H-M 'F -4 3 m'
_symmetry_Int_Tables_number 216
_symmetry_space_group_name_Hall 'F -4 2 3'
loop_
_atom_site_label
_atom_site_fract_x
_atom_site_fract_y
_atom_site_fract_z
Sc1 0.000 0.000 0.000
P1 0.250 0.250 0.750
Se1 0.000 0.000 0.500
# size of the total moment = 0.0 μB per formula unit
# VASP energy = -65.3 eV for the cell shown
# E_form (uncorrected) = -0.37 eV/atom